Computed, not measured: Ba5Ca6 after structural relaxation at the PBE level of DFT.

Values from the calculation:
**SG**: C2/m, No. 12
**Calculated formation energy**: 0.10 eV per atom

a = 10.5978 Å, b = 10.5978 Å, c = 6.6819 Å
α = 108.33°, β = 108.33°, γ = 111.07°
Closest atoms and distances in Å follow each position.
Atoms (fractional coordinates):
Ba  0.0000  0.0000  0.0000  4 Ca 3.80
Ba  0.1518  0.8482  0.5000  4 Ca 4.08-4.35, 4 Ba 4.12-4.27
Ba  0.2892  0.7108  0.0000  8 Ca 4.11-4.27, 2 Ba 4.12
Ba  0.7108  0.2892  0.0000  8 Ca 4.11-4.27, 2 Ba 4.12
Ba  0.8482  0.1518  0.5000  4 Ca 4.08-4.35, 4 Ba 4.12-4.27
Ca  0.1912  0.4375  0.3142  3 Ca 3.70-3.98, 3 Ba 3.80-4.12
Ca  0.3103  0.3103  0.8101  5 Ca 3.78-3.98, 4 Ba 4.08-4.14
Ca  0.4375  0.1912  0.3142  3 Ca 3.70-3.98, 3 Ba 3.80-4.12
Ca  0.5625  0.8088  0.6858  3 Ca 3.70-3.98, 3 Ba 3.80-4.12
Ca  0.6897  0.6897  0.1899  5 Ca 3.78-3.98, 4 Ba 4.08-4.14
Ca  0.8088  0.5625  0.6858  3 Ca 3.70-3.98, 3 Ba 3.80-4.12

---

Computed, not measured: NpInHg2 after structural relaxation at the PBE level of DFT.

Values from the calculation:
**SG**: P4/mmm, No. 123
**Calculated formation energy**: 0.13 eV per atom

a = 4.8198 Å, b = 4.8198 Å, c = 4.3568 Å
α = 90.00°, β = 90.00°, γ = 90.00°
Closest atoms and distances in Å follow each position.
Atoms (fractional coordinates):
Np  0.0000  0.0000  0.0000  8 Hg 3.25, 4 In 3.41
In  0.5000  0.5000  0.0000  8 Hg 3.25, 4 Np 3.41
Hg  0.0000  0.5000  0.5000  4 In 3.25, 4 Np 3.25, 4 Hg 3.41
Hg  0.5000  0.0000  0.5000  4 In 3.25, 4 Np 3.25, 4 Hg 3.41

---

Computed, not measured: CeNd3Ho2Te6 after structural relaxation at the PBE level of DFT.

Values from the calculation:
**SG**: C2/m, No. 12
**ΔE_f (raw)**: -1360 meV/atom

a = 9.9425 Å, b = 9.9425 Å, c = 8.9681 Å
α = 103.20°, β = 103.20°, γ = 25.60°
Closest atoms and distances in Å follow each position.
Atoms (fractional coordinates):
Ce  0.0000  0.0000  0.0000  6 Te 3.14-3.18
Nd  0.0000  0.0000  0.5000  6 Te 3.15-3.22
Nd  0.3374  0.3374  0.1673  6 Te 3.15-3.22
Nd  0.6626  0.6626  0.8327  6 Te 3.15-3.22
Ho  0.3347  0.3347  0.6699  6 Te 3.03-3.10
Ho  0.6653  0.6653  0.3301  6 Te 3.03-3.10
Te  0.1686  0.1686  0.0931  2 Ho 3.07, 1 Ce 3.18, 3 Nd 3.18-3.19
Te  0.1706  0.1706  0.5755  3 Ho 3.09-3.10, 3 Nd 3.22
Te  0.4955  0.4955  0.7480  1 Ho 3.03, 2 Ce 3.14, 3 Nd 3.15
Te  0.5045  0.5045  0.2520  1 Ho 3.03, 2 Ce 3.14, 3 Nd 3.15
Te  0.8294  0.8294  0.4245  3 Ho 3.09-3.10, 3 Nd 3.22
Te  0.8314  0.8314  0.9069  2 Ho 3.07, 1 Ce 3.18, 3 Nd 3.18-3.19